1.
Density functional theory data (PBE-GGA) for a geometry-optimized NbCo2Re2 structure.

For the calculated formation energy, the calculation gives 87 meV/atom. The value obtained for the energy above the lowest structure with this stoichiometry is 67 meV per atom. Its symmetry is P4/mbm, No. 127. The raw total energy is -97.5 eV/cell. The magnetization is 0.00 μB/atom.

```
NbCo2Re2
1.0
-5.5417 2.4479 -4.0988
3.5757 -2.0330 -6.0485
-1.1368 -2.3669 0.1235
Re Nb Co
4 2 4
direct
0.3738 0.8738 0.0000
0.8738 0.6262 0.0000
0.6262 0.1262 0.0000
0.1262 0.3738 0.0000
0.0000 0.0000 0.0000
0.5000 0.5000 0.0000
0.1694 0.6694 0.5000
0.6694 0.8306 0.5000
0.8306 0.3306 0.5000
0.3306 0.1694 0.5000
```

=====

2.
Density functional theory data (PBE-GGA) for a geometry-optimized Nb4CoRe3 structure.

For the calculated formation energy, the calculation gives -210 meV/atom. Its symmetry is P4/mmm, No. 123. The raw total energy is -86.4 eV/cell. The magnetization is 0.22 μB/atom.

```
Nb4CoRe3
1.0
-1.4179 -2.3773 -1.6027
2.8644 -1.0964 -0.9077
0.4936 -7.2423 10.3062
Re Nb Co
3 4 1
direct
0.5000 0.5000 0.2443
0.5000 0.5000 0.5000
0.5000 0.5000 0.7557
0.0000 0.0000 0.8801
0.0000 0.0000 0.1199
0.0000 0.0000 0.3727
0.0000 0.0000 0.6273
0.5000 0.5000 0.0000
```